No. 1
Density functional theory data (PBE) for an optimized crystal structure of CuSbOsF.

Computed properties:
Energy above the most stable polymorph in this dataset = 0.025 eV/atom
Formation energy (no corrections) = -71.4 kJ/mol of formula units

Lattice parameters (Å, degrees): 3.031 3.031 24.218 90.00 90.00 120.00
Fractional positions:
Cu (0.000, 0.000, 0.000)
Cu (0.333, 0.667, 0.667)
Cu (0.667, 0.333, 0.333)
Sb (0.000, 0.000, 0.166)
Sb (0.333, 0.667, 0.832)
Sb (0.667, 0.333, 0.499)
Os (0.000, 0.000, 0.586)
Os (0.333, 0.667, 0.253)
Os (0.667, 0.333, 0.919)
F (0.000, 0.000, 0.382)
F (0.333, 0.667, 0.049)
F (0.667, 0.333, 0.716)

No. 2
Density functional theory data (PBE) for an optimized crystal structure of AlTc2Ag.

Computed properties:
Total DFT energy (no corrections) = -26.4 eV per formula unit

Lattice parameters (Å, degrees): 5.300 8.890 2.707 90.00 106.46 90.00
Fractional positions:
Al (0.000, 0.000, 0.000)
Al (0.500, 0.500, 0.000)
Tc (0.250, 0.250, 0.500)
Tc (0.250, 0.750, 0.500)
Tc (0.750, 0.250, 0.500)
Tc (0.750, 0.750, 0.500)
Ag (0.000, 0.500, 0.000)
Ag (0.500, 0.000, 0.000)

No. 3
Density functional theory data (PBE) for an optimized crystal structure of CaNiH4.

Computed properties:
Total DFT energy (no corrections) = -23.0 eV per formula unit

Lattice parameters (Å, degrees): 7.569 4.717 3.757 90.00 119.58 90.00
Fractional positions:
Ca (0.000, 0.000, 0.000)
Ca (0.500, 0.500, 0.000)
Ni (0.000, 0.500, 0.500)
Ni (0.500, 0.000, 0.500)
H (0.160, 0.268, 0.661)
H (0.160, 0.732, 0.661)
H (0.340, 0.232, 0.339)
H (0.340, 0.768, 0.339)
H (0.660, 0.232, 0.661)
H (0.660, 0.768, 0.661)
H (0.840, 0.268, 0.339)
H (0.840, 0.732, 0.339)

No. 4
Density functional theory data (PBE) for an optimized crystal structure of SiAg2Rh.

Computed properties:
Formation energy (no corrections) = 100.2 kJ/mol of formula units

Lattice parameters (Å, degrees): 7.322 7.322 5.042 90.00 90.00 90.00
Fractional positions:
Si (0.000, 0.000, 0.000)
Si (0.000, 0.500, 0.250)
Si (0.500, 0.000, 0.750)
Si (0.500, 0.500, 0.500)
Ag (0.216, 0.250, 0.125)
Ag (0.250, 0.716, 0.375)
Ag (0.250, 0.784, 0.875)
Ag (0.284, 0.250, 0.625)
Ag (0.716, 0.750, 0.625)
Ag (0.750, 0.216, 0.875)
Ag (0.750, 0.284, 0.375)
Ag (0.784, 0.750, 0.125)
Rh (0.000, 0.000, 0.500)
Rh (0.000, 0.500, 0.750)
Rh (0.500, 0.000, 0.250)
Rh (0.500, 0.500, 0.000)

No. 5
Density functional theory data (PBE) for an optimized crystal structure of Pm2Th2Ag.

Computed properties:
Total DFT energy (no corrections) = -27.6 eV per formula unit

Lattice parameters (Å, degrees): 3.631 3.631 22.769 90.00 90.00 90.00
Fractional positions:
Pm (0.000, 0.000, 0.087)
Pm (0.000, 0.000, 0.913)
Pm (0.500, 0.500, 0.413)
Pm (0.500, 0.500, 0.587)
Th (0.000, 0.000, 0.302)
Th (0.000, 0.000, 0.698)
Th (0.500, 0.500, 0.198)
Th (0.500, 0.500, 0.802)
Ag (0.000, 0.000, 0.500)
Ag (0.500, 0.500, 0.000)

No. 6
Density functional theory data (PBE) for an optimized crystal structure of K4GeP4Se12.

Computed properties:
Formation energy (no corrections) = -1095.0 kJ/mol of formula units

Lattice parameters (Å, degrees): 14.602 7.330 24.582 90.00 90.00 90.00
Fractional positions:
K (0.033, 0.198, 0.000)
K (0.126, 0.315, 0.595)
K (0.163, 0.720, 0.882)
K (0.178, 0.673, 0.215)
K (0.322, 0.673, 0.715)
K (0.337, 0.720, 0.382)
K (0.374, 0.315, 0.095)
K (0.467, 0.198, 0.500)
K (0.533, 0.802, 0.000)
K (0.626, 0.685, 0.595)
K (0.663, 0.280, 0.882)
K (0.678, 0.327, 0.215)
K (0.822, 0.327, 0.715)
K (0.837, 0.280, 0.382)
K (0.874, 0.685, 0.095)
K (0.967, 0.802, 0.500)
Ge (0.078, 0.156, 0.304)
Ge (0.422, 0.156, 0.804)
Ge (0.578, 0.844, 0.304)
Ge (0.922, 0.844, 0.804)
P (0.048, 0.748, 0.691)
P (0.095, 0.186, 0.155)
P (0.102, 0.372, 0.434)
P (0.208, 0.148, 0.419)
P (0.292, 0.148, 0.919)
P (0.398, 0.372, 0.934)
P (0.405, 0.186, 0.655)
P (0.452, 0.748, 0.191)
P (0.548, 0.252, 0.691)
P (0.595, 0.814, 0.155)
P (0.602, 0.628, 0.434)
P (0.708, 0.852, 0.419)
P (0.792, 0.852, 0.919)
P (0.898, 0.628, 0.934)
P (0.905, 0.814, 0.655)
P (0.952, 0.252, 0.191)
Se (0.012, 0.732, 0.982)
Se (0.051, 0.474, 0.724)
Se (0.053, 0.450, 0.346)
Se (0.058, 0.960, 0.761)
Se (0.090, 0.923, 0.116)
Se (0.116, 0.935, 0.373)
Se (0.137, 0.415, 0.106)
Se (0.149, 0.815, 0.630)
Se (0.171, 0.608, 0.469)
Se (0.186, 0.243, 0.864)
Se (0.190, 0.189, 0.233)
Se (0.248, 0.034, 0.496)
Se (0.252, 0.034, 0.996)
Se (0.310, 0.189, 0.733)
Se (0.314, 0.243, 0.364)
Se (0.329, 0.608, 0.969)
Se (0.351, 0.815, 0.130)
Se (0.363, 0.415, 0.606)
Se (0.384, 0.935, 0.873)
Se (0.410, 0.923, 0.616)
Se (0.442, 0.960, 0.261)
Se (0.447, 0.450, 0.846)
Se (0.449, 0.474, 0.224)
Se (0.488, 0.732, 0.482)
Se (0.512, 0.268, 0.982)
Se (0.551, 0.526, 0.724)
Se (0.553, 0.550, 0.346)
Se (0.558, 0.040, 0.761)
Se (0.590, 0.077, 0.116)
Se (0.616, 0.065, 0.373)
Se (0.637, 0.585, 0.106)
Se (0.649, 0.185, 0.630)
Se (0.671, 0.392, 0.469)
Se (0.686, 0.757, 0.864)
Se (0.690, 0.811, 0.233)
Se (0.748, 0.966, 0.496)
Se (0.752, 0.966, 0.996)
Se (0.810, 0.811, 0.733)
Se (0.814, 0.757, 0.364)
Se (0.829, 0.392, 0.969)
Se (0.851, 0.185, 0.130)
Se (0.863, 0.585, 0.606)
Se (0.884, 0.065, 0.873)
Se (0.910, 0.077, 0.616)
Se (0.942, 0.040, 0.261)
Se (0.947, 0.550, 0.846)
Se (0.949, 0.526, 0.224)
Se (0.988, 0.268, 0.482)